Mg2SnAu: optimized geometry, PBE.

Properties
Its calculated volume is 337.7 Å³ per cell. Its density is 7.17 g/cm³. The value obtained for the total energy is -0.20123 Ry per atom.

```
data_Mg2SnAu
_chemical_formula_sum 'Mg8 Sn4 Au4'
_space_group_name_H-M_alt 'F -4 3 m'
_space_group_IT_number 216
_space_group_name_Hall 'F -4 2 3'
_cell_length_a 6.963
_cell_length_b 6.963
_cell_length_c 6.963
_cell_angle_alpha 90.00
_cell_angle_beta 90.00
_cell_angle_gamma 90.00
loop_
_atom_site_label
_atom_site_type_symbol
_atom_site_fract_x
_atom_site_fract_y
_atom_site_fract_z
Mg1 Mg 0.000 0.000 0.000
Mg2 Mg 0.250 0.250 0.250
Sn1 Sn 0.000 0.000 0.500
Au1 Au 0.250 0.250 0.750
```